This record from Alexandria describes a crystal of Ti2CoSbAu relaxed with PBEsol. The functional is meta-GGA SCAN.

Cell: 4.8245 4.8245 5.0929 Å, 90.00 90.00 90.00°
Last column: nearest neighbours and their distance in Å.
Element x y z (fractional)
Ti (0.0000, 0.5000, 0.0000)  2 Au 2.41
Ti (0.5000, 0.0000, 0.0000)  2 Au 2.41
Co (0.0000, 0.0000, 0.5000)  4 Sb 3.41, 8 Ti 3.51
Sb (0.5000, 0.5000, 0.5000)  2 Au 2.55
Au (0.5000, 0.5000, 0.0000)  4 Ti 2.41, 2 Sb 2.55

Output
Theoretical density = 6.63 g/cm3
ΔE_f (raw) = 0.986 eV per atom

This record from Alexandria describes a crystal of Te2AsPI relaxed with PBEsol. The functional is meta-GGA SCAN.

Cell: 5.3685 5.3685 5.4361 Å, 90.00 90.00 90.00°
Last column: nearest neighbours and their distance in Å.
Element x y z (fractional)
Te (0.0000, 0.5000, 0.0000)  2 As 2.68
Te (0.5000, 0.0000, 0.0000)  2 As 2.68
As (0.0000, 0.0000, 0.0000)  4 Te 2.68, 2 I 2.72
P (0.5000, 0.5000, 0.5000)  4 I 3.80, 8 Te 3.82
I (0.0000, 0.0000, 0.5000)  2 As 2.72

Output
Theoretical density = 5.17 g/cm3
ΔE_f (raw) = 0.923 eV per atom

This record from Alexandria describes a crystal of Ba2ErCu4O8 relaxed with PBEsol. The functional is meta-GGA SCAN.

Cell: 13.5500 13.5500 3.8171 Å, 90.00 90.00 163.71°
Last column: nearest neighbours and their distance in Å.
Element x y z (fractional)
Ba (0.1354, 0.8646, 0.0000)  10 O 2.72-2.95
Ba (0.8646, 0.1354, 0.0000)  10 O 2.72-2.95
Er (0.0000, 0.0000, 0.0000)  8 O 2.36-2.37
Cu (0.2877, 0.7123, 0.5000)  4 O 1.83-1.93
Cu (0.4388, 0.5612, 0.5000)  4 O 1.93-1.94
Cu (0.5612, 0.4388, 0.5000)  4 O 1.93-1.94
Cu (0.7123, 0.2877, 0.5000)  4 O 1.83-1.93
O (0.0516, 0.9484, 0.5000)  2 Cu 1.94
O (0.2179, 0.7821, 0.5000)  3 Cu 1.87-1.93
O (0.3559, 0.6441, 0.5000)  1 Cu 1.83
O (0.4483, 0.5517, 0.0000)  2 Cu 1.93
O (0.5517, 0.4483, 0.0000)  2 Cu 1.93
O (0.6441, 0.3559, 0.5000)  1 Cu 1.83
O (0.7821, 0.2179, 0.5000)  3 Cu 1.87-1.93
O (0.9484, 0.0516, 0.5000)  2 Cu 1.94

Output
Theoretical density = 6.96 g/cm3
ΔE_f (raw) = -1.911 eV per atom

This record from Alexandria describes a crystal of HgPbBr2 relaxed with PBEsol. The functional is meta-GGA SCAN.

Cell: 5.3591 5.3591 5.3591 Å, 60.00 60.00 60.00°
Last column: nearest neighbours and their distance in Å.
Element x y z (fractional)
Hg (0.0000, 0.0000, 0.0000)  8 Br 3.28
Pb (0.5000, 0.5000, 0.5000)  8 Br 3.28
Br (0.2500, 0.2500, 0.2500)  4 Pb 3.28, 4 Hg 3.28
Br (0.7500, 0.7500, 0.7500)  4 Pb 3.28, 4 Hg 3.28

Output
Theoretical density = 8.66 g/cm3
ΔE_f (raw) = -0.498 eV per atom
Distance to the lowest polymorph of the same formula = 142.5 meV per atom

This record from Alexandria describes a crystal of CdInTe2 relaxed with PBEsol. The functional is meta-GGA SCAN.

Cell: 7.4396 7.4396 7.4396 Å, 33.44 33.44 33.44°
Last column: nearest neighbours and their distance in Å.
Element x y z (fractional)
Cd (0.0000, 0.0000, 0.0000)  6 Te 3.00
In (0.5000, 0.5000, 0.5000)  6 Te 3.06
Te (0.2526, 0.2526, 0.2526)  3 Cd 3.00, 3 In 3.06
Te (0.7474, 0.7474, 0.7474)  3 Cd 3.00, 3 In 3.06

Output
Theoretical density = 7.19 g/cm3
ΔE_f (raw) = -0.336 eV per atom

This record from Alexandria describes a crystal of Ti2InH2 relaxed with PBEsol. The functional is meta-GGA SCAN.

Cell: 5.2279 5.2279 5.2279 Å, 140.82 140.82 56.61°
Last column: nearest neighbours and their distance in Å.
Element x y z (fractional)
Ti (0.1720, 0.1720, 0.0000)  4 H 1.89
Ti (0.8280, 0.8280, 0.0000)  4 H 1.89
In (0.5000, 0.5000, 0.0000)  8 H 2.89, 10 Ti 2.94-3.02
H (0.2500, 0.7500, 0.5000)  4 Ti 1.89
H (0.7500, 0.2500, 0.5000)  4 Ti 1.89

Output
Theoretical density = 6.24 g/cm3
E_tot = -14.93 eV per atom

This record from Alexandria describes a crystal of GeBiSe2 relaxed with PBEsol. The functional is meta-GGA SCAN.

Cell: 5.0042 5.0042 5.0042 Å, 60.00 60.00 60.00°
Last column: nearest neighbours and their distance in Å.
Element x y z (fractional)
Ge (0.0000, 0.0000, 0.0000)  8 Se 3.06
Bi (0.5000, 0.5000, 0.5000)  8 Se 3.06
Se (0.2500, 0.2500, 0.2500)  4 Bi 3.06, 4 Ge 3.06
Se (0.7500, 0.7500, 0.7500)  4 Bi 3.06, 4 Ge 3.06

Output
Theoretical density = 8.24 g/cm3
ΔE_f (raw) = 0.130 eV per atom
Distance to the lowest polymorph of the same formula = 0.0 meV per atom

This record from Alexandria describes a crystal of Hf3ZrH relaxed with PBEsol. The functional is meta-GGA SCAN.

Cell: 4.4445 4.4445 4.4445 Å, 90.00 90.00 90.00°
Last column: nearest neighbours and their distance in Å.
Element x y z (fractional)
Hf (0.0000, 0.0000, 0.5000)  2 H 2.22
Hf (0.0000, 0.5000, 0.0000)  2 H 2.22
Hf (0.5000, 0.0000, 0.0000)  2 H 2.22
Zr (0.5000, 0.5000, 0.5000)  12 Hf 3.14
H (0.0000, 0.0000, 0.0000)  6 Hf 2.22

Output
Theoretical density = 11.87 g/cm3
Distance to the lowest polymorph of the same formula = 0.0 meV per atom

Question: Number 3 is which compound?
Answer: Ba2ErCu4O8